Sr2TlHPd, optimized geometry, DFT PBE; DOS(E_F) = 3.47 states/eV/f.u.; VASP energy = -16.51 eV for the cell shown
1.0
5.6442 0.0000 0.0000
0.0000 5.6442 0.0000
0.0000 0.0000 3.7825
Tl Pd Sr H
1 1 2 1
Cartesian
2.8221 2.8221 1.8913
0.0000 0.0000 1.8913
0.0000 2.8221 0.0000
2.8221 0.0000 0.0000
0.0000 0.0000 0.0000